# PBE Ge3AsPd, optimized geometry
# VASP energy   -4.370 eV/atom
# E_form   0.3684 eV per atom
# Offset from the most stable computed form   0.0 kJ/mol of atoms
# Spin magnetization   0.00 μB/cell
data_Ge3AsPd
_chemical_formula_sum 'Ge3 As1 Pd1'
_space_group_name_H-M_alt 'P m -3 m'
_space_group_IT_number 221
_space_group_name_Hall '-P 4 2 3'
_cell_length_a 4.838
_cell_length_b 4.838
_cell_length_c 4.838
_cell_angle_alpha 90.00
_cell_angle_beta 90.00
_cell_angle_gamma 90.00
loop_
_atom_site_label
_atom_site_type_symbol
_atom_site_fract_x
_atom_site_fract_y
_atom_site_fract_z
Ge1 Ge 0.000 0.000 0.500
As1 As 0.500 0.500 0.500
Pd1 Pd 0.000 0.000 0.000